Entry 1:
Compound: Be2GaAs2
Source: Alexandria via LeMat-Bulk
Functional: PBE
Structure: relaxed

abc: 3.544 3.544 7.278
angles: 75.91 75.91 90.00
Element x y z (fractional)
Be: 0.750 0.250 0.500
Be: 0.250 0.750 0.500
As: 0.642 0.642 0.716
As: 0.358 0.358 0.284
Ga: 0.000 0.000 0.000

## Properties
The energy of formation comes out at 0.008 eV per atom. The value obtained for the total moment is 0.00 μB per cell. The density of states at the Fermi level comes out at 1.1 states/eV per cell. For the total energy, the calculation gives -3.947 eV per atom. The value obtained for the calculated volume is 17.17 A^3/atom.

***

Entry 2:
Compound: Th4ZnPd3
Source: Alexandria via LeMat-Bulk
Functional: PBE
Structure: relaxed

abc: 3.912 4.470 11.323
angles: 90.00 90.00 90.00
Element x y z (fractional)
Th: 0.500 0.000 0.638
Pd: 0.500 0.000 0.917
Th: 0.500 0.500 0.355
Pd: 0.000 0.500 0.589
Pd: 0.000 0.000 0.423
Th: 0.000 0.000 0.148
Th: 0.000 0.500 0.857
Zn: 0.500 0.500 0.073

## Properties
The energy of formation comes out at -0.591 eV per atom. The value obtained for the total moment is 0.00 μB per cell. The density of states at the Fermi level comes out at 8.4 states/eV per cell. For the total energy, the calculation gives -6.408 eV per atom. The value obtained for the calculated volume is 24.75 A^3/atom.

***

Entry 3:
Compound: Li8CaCd2
Source: Alexandria via LeMat-Bulk
Functional: PBE
Structure: relaxed

abc: 5.599 5.599 10.503
angles: 105.46 105.46 90.00
Element x y z (fractional)
Li: 0.603 0.107 0.709
Li: 0.603 0.603 0.709
Cd: 0.250 0.750 0.500
Li: 0.893 0.893 0.291
Li: 0.397 0.397 0.291
Li: 0.107 0.603 0.709
Li: 0.397 0.893 0.291
Ca: 0.500 0.500 0.000
Cd: 0.750 0.250 0.500
Li: 0.107 0.107 0.709
Li: 0.893 0.397 0.291

## Properties
The energy of formation comes out at 0.152 eV per atom. The value obtained for the total moment is 0.00 μB per cell. The density of states at the Fermi level comes out at 5.2 states/eV per cell. For the total energy, the calculation gives -1.588 eV per atom. The value obtained for the calculated volume is 27.72 A^3/atom.

***

Entry 4:
Compound: Rb2SrAu
Source: Alexandria via LeMat-Bulk
Functional: PBE
Structure: relaxed

abc: 12.065 12.065 9.103
angles: 48.49 48.49 90.00
Element x y z (fractional)
Sr: 0.500 0.500 0.000
Au: 0.750 0.250 0.500
Rb: 0.375 0.256 0.750
Rb: 0.875 0.994 0.750
Sr: 0.250 0.750 0.500
Rb: 0.006 0.625 0.250
Rb: 0.744 0.125 0.250
Au: 0.000 0.000 0.000

## Properties
The energy of formation comes out at -0.085 eV per atom. The value obtained for the total moment is 0.00 μB per cell. The density of states at the Fermi level comes out at 8.2 states/eV per cell. Its energy above the most stable polymorph in this dataset is 0.0 meV per atom. For the total energy, the calculation gives -1.808 eV per atom. The value obtained for the calculated volume is 57.74 A^3/atom.

***

Entry 5:
Compound: PmTh2Sc4
Source: Alexandria via LeMat-Bulk
Functional: PBE
Structure: relaxed

abc: 3.294 8.414 8.264
angles: 117.24 89.87 101.12
Element x y z (fractional)
Sc: 0.368 0.732 0.585
Sc: 0.075 0.153 0.696
Th: 0.776 0.557 0.849
Th: 0.224 0.443 0.151
Sc: 0.925 0.847 0.304
Pm: 0.000 0.000 0.000
Sc: 0.632 0.268 0.415

## Properties
The energy of formation comes out at 0.168 eV per atom. The value obtained for the total moment is 0.00 μB per cell. The density of states at the Fermi level comes out at 12.1 states/eV per cell. Its energy above the most stable polymorph in this dataset is 0.0 meV per atom. For the total energy, the calculation gives -6.248 eV per atom. The value obtained for the calculated volume is 28.41 A^3/atom.

***

Entry 6:
Compound: BaLa2Co
Source: Alexandria via LeMat-Bulk
Functional: PBE
Structure: relaxed

abc: 3.696 3.696 9.561
angles: 90.00 90.00 89.93
Element x y z (fractional)
Co: 0.500 0.500 0.814
La: 0.500 0.500 0.205
La: 0.000 0.000 0.921
Ba: 0.000 0.000 0.559

## Properties
The energy of formation comes out at 0.187 eV per atom. The value obtained for the total moment is 0.00 μB per cell. The density of states at the Fermi level comes out at 4.1 states/eV per cell. Its energy above the most stable polymorph in this dataset is 255.3 meV per atom. For the total energy, the calculation gives -4.534 eV per atom. The value obtained for the calculated volume is 32.65 A^3/atom.

***

Repeat the fourth record exactly.
Compound: Rb2SrAu
Source: Alexandria via LeMat-Bulk
Functional: PBE
Structure: relaxed

abc: 12.065 12.065 9.103
angles: 48.49 48.49 90.00
Element x y z (fractional)
Sr: 0.500 0.500 0.000
Au: 0.750 0.250 0.500
Rb: 0.375 0.256 0.750
Rb: 0.875 0.994 0.750
Sr: 0.250 0.750 0.500
Rb: 0.006 0.625 0.250
Rb: 0.744 0.125 0.250
Au: 0.000 0.000 0.000

## Properties
The energy of formation comes out at -0.085 eV per atom. The value obtained for the total moment is 0.00 μB per cell. The density of states at the Fermi level comes out at 8.2 states/eV per cell. Its energy above the most stable polymorph in this dataset is 0.0 meV per atom. For the total energy, the calculation gives -1.808 eV per atom. The value obtained for the calculated volume is 57.74 A^3/atom.